## Na5B8C2 (GGA-PBE)

Data for a relaxed Na5B8C2 crystal.

CIF file:
```
data_Na5B8C2
_space_group_name_H-M_alt 'C 1 2/m 1'
_space_group_IT_number 12
_cell_length_a 23.417
_cell_length_b 2.822
_cell_length_c 10.163
_cell_angle_alpha 90.00
_cell_angle_beta 106.22
_cell_angle_gamma 90.00
loop_
_space_group_symop_operation_xyz
'x,y,z'
'-x,-y,-z'
'-x,y,-z'
'x,-y,z'
'x+1/2,y+1/2,z'
'-x+1/2,-y+1/2,-z'
'-x+1/2,y+1/2,-z'
'x+1/2,-y+1/2,z'
loop_
_atom_site_label
_atom_site_fract_x
_atom_site_fract_y
_atom_site_fract_z
Na1 0.000 0.000 0.000
Na2 0.000 0.500 0.500
Na3 0.100 0.000 0.698
Na4 0.102 0.500 0.202
Na5 0.200 0.500 0.898
Na6 0.202 0.000 0.401
B1 0.014 0.500 0.777
B2 0.027 0.000 0.305
B3 0.078 0.500 0.903
B4 0.118 0.500 0.484
B5 0.120 0.000 0.990
B6 0.184 0.000 0.118
B7 0.209 0.000 0.666
B8 0.224 0.500 0.201
C1 0.086 0.000 0.423
C2 0.179 0.500 0.605
```

* VASP energy: -5.059 eV per atom
* size of the total moment: 0.0 μB per cell
* relative energy among the computed polymorphs: 0.001 eV per atom
* calculated density: 2.322 g cm⁻³
* formation energy from the elements: 0.1717 eV/atom

---

## Na5B8C2 (GGA-PBE)

Data for a relaxed Na5B8C2 crystal.

CIF file:
```
data_Na5B8C2
_space_group_name_H-M_alt 'P -6 m 2'
_space_group_IT_number 187
_space_group_name_Hall 'P -6 2'
_cell_length_a 2.9391
_cell_length_b 2.9391
_cell_length_c 42.9198
_cell_angle_alpha 90.00
_cell_angle_beta 90.00
_cell_angle_gamma 120.00
loop_
_atom_site_label
_atom_site_fract_x
_atom_site_fract_y
_atom_site_fract_z
Na1 0.0000 0.0000 0.0488
Na2 0.0000 0.0000 0.1469
Na3 0.0000 0.0000 0.2480
Na4 0.0000 0.0000 0.3497
Na5 0.0000 0.0000 0.4508
B1 0.3333 0.6667 0.0977
B2 0.3333 0.6667 0.1975
B3 0.3333 0.6667 0.2989
B4 0.3333 0.6667 0.4003
B5 0.3333 0.6667 0.5000
B6 0.6667 0.3333 0.0000
B7 0.6667 0.3333 0.1975
B8 0.6667 0.3333 0.2989
B9 0.6667 0.3333 0.4003
C1 0.3333 0.6667 0.0000
C2 0.6667 0.3333 0.0977
C3 0.6667 0.3333 0.5000
```

* VASP energy: -5.009 eV per atom
* size of the total moment: 0.0 μB per cell
* relative energy among the computed polymorphs: 0.052 eV per atom
* calculated density: 2.332 g cm⁻³
* formation energy from the elements: 0.2220 eV/atom

---

## Na2B3C (GGA-PBE)

Data for a relaxed Na2B3C crystal.

CIF file:
```
data_Na2B3C
_space_group_name_H-M_alt 'A m m 2'
_space_group_IT_number 38
_cell_length_a 8.601
_cell_length_b 2.831
_cell_length_c 26.039
_cell_angle_alpha 90.00
_cell_angle_beta 90.00
_cell_angle_gamma 90.00
loop_
_space_group_symop_operation_xyz
'x,y,z'
'-x,-y,z'
'-x,y,z'
'x,-y,z'
'x,y+1/2,z+1/2'
'-x,-y+1/2,z+1/2'
'-x,y+1/2,z+1/2'
'x,-y+1/2,z+1/2'
loop_
_atom_site_label
_atom_site_fract_x
_atom_site_fract_y
_atom_site_fract_z
Na1 0.244 0.000 0.000
Na2 0.247 0.000 0.202
Na3 0.248 0.000 0.600
Na4 0.249 0.000 0.401
Na5 0.250 0.000 0.802
B1 0.000 0.000 0.071
B2 0.000 0.000 0.274
B3 0.000 0.000 0.462
B4 0.000 0.000 0.532
B5 0.000 0.000 0.665
B6 0.000 0.000 0.735
B7 0.000 0.000 0.868
B8 0.500 0.000 0.065
B9 0.500 0.000 0.128
B10 0.500 0.000 0.275
B11 0.500 0.000 0.342
B12 0.500 0.000 0.523
B13 0.500 0.000 0.671
B14 0.500 0.000 0.735
B15 0.500 0.000 0.934
C1 0.000 0.000 0.134
C2 0.000 0.000 0.337
C3 0.000 0.000 0.931
C4 0.500 0.000 0.464
C5 0.500 0.000 0.872
```

* VASP energy: -5.162 eV per atom
* size of the total moment: 0.0 μB per cell
* relative energy among the computed polymorphs: 0.021 eV per atom
* calculated density: 2.369 g cm⁻³
* formation energy from the elements: 0.1539 eV/atom